[1]
MgTaW2 | PBE | optimized geometry

Cell and atoms, written as CIF:
```
data_MgTaW2
_chemical_formula_sum 'Mg2 Ta2 W4'
_cell_length_a 3.2124
_cell_length_b 4.5194
_cell_length_c 9.4838
_cell_angle_alpha 90.00
_cell_angle_beta 90.00
_cell_angle_gamma 90.00
_space_group_name_H-M_alt 'C m m m'
_space_group_IT_number 65
_space_group_name_Hall '-C 2 2'
loop_
_atom_site_label
_atom_site_fract_x
_atom_site_fract_y
_atom_site_fract_z
Mg1 0.0000 0.0000 0.0000
Ta1 0.0000 0.0000 0.5000
W1 0.0000 0.5000 0.2555
```

=====

[2]
MgTaW2 | PBE | optimized geometry

Cell and atoms, written as CIF:
```
data_MgTaW2
_chemical_formula_sum 'Mg2 Ta2 W4'
_cell_length_a 9.5021
_cell_length_b 2.6940
_cell_length_c 5.4012
_cell_angle_alpha 90.00
_cell_angle_beta 92.95
_cell_angle_gamma 90.00
_space_group_name_H-M_alt 'C 1 m 1'
_space_group_IT_number 8
loop_
_space_group_symop_operation_xyz
'x,y,z'
'x,-y,z'
'x+1/2,y+1/2,z'
'x+1/2,-y+1/2,z'
loop_
_atom_site_label
_atom_site_fract_x
_atom_site_fract_y
_atom_site_fract_z
Mg1 0.0000 0.0000 0.0000
Ta1 0.2508 0.0000 0.7497
W1 0.0003 0.5000 0.4922
W2 0.2466 0.5000 0.2523
```

=====

[3]
Mg3TaW | PBE | optimized geometry

Cell and atoms, written as CIF:
```
data_Mg3TaW
_chemical_formula_sum 'Mg3 Ta1 W1'
_cell_length_a 4.9539
_cell_length_b 4.9539
_cell_length_c 4.9539
_cell_angle_alpha 90.00
_cell_angle_beta 90.00
_cell_angle_gamma 90.00
_space_group_name_H-M_alt 'P m -3 m'
_space_group_IT_number 221
_space_group_name_Hall '-P 4 2 3'
loop_
_atom_site_label
_atom_site_fract_x
_atom_site_fract_y
_atom_site_fract_z
Mg1 0.0000 0.0000 0.5000
Ta1 0.5000 0.5000 0.5000
W1 0.0000 0.0000 0.0000
```

=====

[4]
MgTaW2 | PBE | optimized geometry

Cell and atoms, written as CIF:
```
data_MgTaW2
_chemical_formula_sum 'Mg1 Ta1 W2'
_cell_length_a 2.7181
_cell_length_b 2.7181
_cell_length_c 9.4929
_cell_angle_alpha 90.00
_cell_angle_beta 90.00
_cell_angle_gamma 90.00
_space_group_name_H-M_alt 'P 4 m m'
_space_group_IT_number 99
loop_
_space_group_symop_operation_xyz
'x,y,z'
'-y,x,z'
'-x,-y,z'
'y,-x,z'
'-x,y,z'
'y,x,z'
'x,-y,z'
'-y,-x,z'
loop_
_atom_site_label
_atom_site_fract_x
_atom_site_fract_y
_atom_site_fract_z
Mg1 0.0000 0.0000 0.0000
Ta1 0.5000 0.5000 0.2652
W1 0.0000 0.0000 0.5112
W2 0.5000 0.5000 0.7544
```

=====

[5]
MgTaW2 | PBE | optimized geometry

Cell and atoms, written as CIF:
```
data_MgTaW2
_chemical_formula_sum 'Mg1 Ta1 W2'
_cell_length_a 2.7046
_cell_length_b 4.4687
_cell_length_c 5.7112
_cell_angle_alpha 90.00
_cell_angle_beta 90.00
_cell_angle_gamma 90.00
_space_group_name_H-M_alt 'P m m 2'
_space_group_IT_number 25
loop_
_space_group_symop_operation_xyz
'x,y,z'
'-x,-y,z'
'-x,y,z'
'x,-y,z'
loop_
_atom_site_label
_atom_site_fract_x
_atom_site_fract_y
_atom_site_fract_z
Mg1 0.0000 0.0000 0.0000
Ta1 0.5000 0.5000 0.2532
W1 0.0000 0.0000 0.5073
W2 0.5000 0.5000 0.7446
```

=====

[6]
MgTaW2 | PBE | optimized geometry

Cell and atoms, written as CIF:
```
data_MgTaW2
_chemical_formula_sum 'Mg1 Ta1 W2'
_cell_length_a 2.7339
_cell_length_b 4.6381
_cell_length_c 5.4641
_cell_angle_alpha 90.00
_cell_angle_beta 99.65
_cell_angle_gamma 90.00
_space_group_name_H-M_alt 'P 1 2/m 1'
_space_group_IT_number 10
loop_
_space_group_symop_operation_xyz
'x,y,z'
'-x,-y,-z'
'-x,y,-z'
'x,-y,z'
loop_
_atom_site_label
_atom_site_fract_x
_atom_site_fract_y
_atom_site_fract_z
Mg1 0.0000 0.0000 0.0000
Ta1 0.5000 0.0000 0.5000
W1 0.2458 0.5000 0.7441
```

=====

[7]
MgTaW2 | PBE | optimized geometry

Cell and atoms, written as CIF:
```
data_MgTaW2
_chemical_formula_sum 'Mg3 Ta3 W6'
_cell_length_a 2.8436
_cell_length_b 2.8436
_cell_length_c 29.9330
_cell_angle_alpha 90.00
_cell_angle_beta 90.00
_cell_angle_gamma 120.00
_space_group_name_H-M_alt 'R -3 m'
_space_group_IT_number 166
_space_group_name_Hall '-R 3 2"'
loop_
_atom_site_label
_atom_site_fract_x
_atom_site_fract_y
_atom_site_fract_z
Mg1 0.0000 0.0000 0.0000
Ta1 0.0000 0.0000 0.5000
W1 0.0000 0.0000 0.2503
```

=====

[8]
MgTa3W | PBE | optimized geometry

Cell and atoms, written as CIF:
```
data_MgTa3W
_chemical_formula_sum 'Mg1 Ta3 W1'
_cell_length_a 4.9023
_cell_length_b 4.9023
_cell_length_c 4.9023
_cell_angle_alpha 90.00
_cell_angle_beta 90.00
_cell_angle_gamma 90.00
_space_group_name_H-M_alt 'P m -3 m'
_space_group_IT_number 221
_space_group_name_Hall '-P 4 2 3'
loop_
_atom_site_label
_atom_site_fract_x
_atom_site_fract_y
_atom_site_fract_z
Mg1 0.0000 0.0000 0.0000
Ta1 0.0000 0.5000 0.5000
W1 0.5000 0.5000 0.5000
```

=====

no.,ΔE_f (eV/atom),ρ (g cm⁻³),total magnetization (μB per atom)
1,0.20,13.82,0.0000
2,0.39,13.78,0.0000
3,1.99,5.98,0.0002
4,0.40,13.57,0.0000
5,0.40,13.78,0.0000
6,0.27,13.93,0.0000
7,0.47,13.62,0.0001
8,1.36,10.59,0.0000